Record 1
PaVSiO6 after structural relaxation. Source: Alexandria via LeMat-Bulk, functional PBE+U.

Structure (POSCAR):
```
PaVSiO6
1.0
4.994 0.000 0.000
-2.497 4.325 0.000
0.000 0.000 4.722
Pa V Si O
1 1 1 6
Cartesian
0.000 0.000 0.000 Pa
2.497 1.442 2.361 V
0.000 2.883 2.361 Si
-0.764 1.598 1.329 O
-1.495 2.864 3.393 O
0.764 1.598 3.393 O
-0.731 4.187 1.329 O
1.495 2.864 1.329 O
0.731 4.187 3.393 O
```

crystal system	trigonal
space group	P312, No. 149
total energy	-77.49	eV per cell
volume	101.99	Å³/cell

=====

Record 2
PaVSi2O8 after structural relaxation. Source: Alexandria via LeMat-Bulk, functional PBE+U.

Structure (POSCAR):
```
PaVSi2O8
1.0
-3.386 3.386 3.076
3.386 -3.386 3.076
3.386 3.386 -3.076
Pa V Si O
1 1 2 8
Cartesian
0.000 0.000 0.000 Pa
3.386 0.000 1.538 V
0.000 0.000 3.076 Si
0.000 3.386 1.538 Si
2.128 3.386 -1.075 O
1.257 0.000 2.002 O
0.000 2.167 0.449 O
3.386 2.128 1.075 O
0.000 4.604 0.449 O
0.000 1.257 4.151 O
-1.218 3.386 2.627 O
1.218 3.386 2.627 O
```

crystal system	tetragonal
space group	I-4m2, No. 119
total energy	-100.06	eV per cell
volume	141.03	Å³/cell